A plane-wave DFT calculation with GGA-PBE was carried out for crystalline NaCa2As at its relaxed geometry.

## Properties
- Space group: No. 122
- Final energy: -2.87 eV per atom
- Formation enthalpy at 0 K: -379 meV/atom
- Size of the total moment: 0.00 μB/cell

Cell: 7.2050 7.2050 7.2050 Å, 104.63 104.63 119.67°
Element x y z (fractional)
Na1 0.0000 0.0000 0.0000
Na2 0.7500 0.2500 0.5000
Ca1 0.1992 0.1250 0.5742
Ca2 0.3750 0.8008 0.9258
Ca3 0.5508 0.6250 0.4258
Ca4 0.8750 0.4492 0.0742
As1 0.2500 0.7500 0.5000
As2 0.5000 0.5000 0.0000